1 | A plane-wave DFT calculation with PBE was carried out for Nd3ErGa2 after structural relaxation.

Structure (POSCAR):
```
Nd3ErGa2
1.0
-1.8221 -2.0110 -4.3573
3.3618 -5.6082 1.1825
-7.6164 -3.5487 4.8228
Er Nd Ga
2 6 4
Direct
0.5000 0.0173 0.4457
0.5000 0.5173 0.5543
0.5000 0.1833 0.8224
0.5000 0.6833 0.1776
0.0000 0.3151 0.3354
0.0000 0.4796 0.9521
0.0000 0.8151 0.6646
0.0000 0.9796 0.0479
0.0000 0.7976 0.3519
0.0000 0.2976 0.6481
0.5000 0.2070 0.1498
0.5000 0.7070 0.8502
```

As for the space group: No. 26. Its crystal system is orthorhombic.

---

2 | A plane-wave DFT calculation with PBE was carried out for Nd3ErGa2 after structural relaxation.

Structure (POSCAR):
```
Nd3ErGa2
1.0
-2.3464 3.1072 3.3506
3.5138 -8.3661 6.2814
4.1681 6.2479 -2.8752
Nd Ga Er
6 4 2
Direct
0.0575 0.1151 0.2921
0.3802 0.7604 0.2949
0.6808 0.3617 0.3642
0.3192 0.6383 0.6358
0.9425 0.8849 0.7079
0.6198 0.2396 0.7051
0.5327 0.0655 0.8970
0.4673 0.9345 0.1030
0.2192 0.4384 0.7742
0.7808 0.5616 0.2258
0.8349 0.6697 0.9507
0.1651 0.3303 0.0493
```

As for the space group: No. 12. Its crystal system is monoclinic.

---

Most favorable first, least favorable last: 1, 2

---

1 | A plane-wave DFT calculation with PBE was carried out for NdErGa4 after structural relaxation.

Structure (POSCAR):
```
NdErGa4
1.0
4.2367 0.0000 0.0000
-2.1184 3.6691 0.0000
0.0000 0.0000 8.3619
Ga Er Nd
4 1 1
Direct
0.3333 0.6667 0.7595
0.6667 0.3333 0.2405
0.3333 0.6667 0.2405
0.6667 0.3333 0.7595
0.0000 0.0000 0.0000
0.0000 0.0000 0.5000
```

As for the space group: No. 191. Its crystal system is hexagonal.

---

2 | A plane-wave DFT calculation with PBE was carried out for NdErGa4 after structural relaxation.

Structure (POSCAR):
```
NdErGa4
1.0
-0.8716 4.0154 -0.8969
-0.3217 -0.9806 -4.0771
-6.6046 -2.8805 3.3830
Nd Ga Er
1 4 1
Direct
0.2500 0.7500 0.5000
0.6660 0.1660 0.3319
0.4182 0.4182 0.8364
0.5818 0.5818 0.1636
0.8340 0.3340 0.6681
0.0000 0.0000 0.0000
```

As for the space group: No. 119. Its crystal system is tetragonal.

---

3 | A plane-wave DFT calculation with PBE was carried out for NdErGa4 after structural relaxation.

Structure (POSCAR):
```
NdErGa4
1.0
5.5623 0.0000 0.0000
2.7811 4.8171 0.0000
2.7811 1.6057 4.5416
Er Nd Ga
1 1 4
Direct
0.2500 0.2500 0.2500
0.0000 0.0000 0.0000
0.6249 0.6249 0.6249
0.6249 0.1254 0.6249
0.1254 0.6249 0.6249
0.6249 0.6249 0.1254
```

As for the space group: No. 216. Its crystal system is cubic.

---

Most favorable first, least favorable last: 1, 2, 3